An optimized crystal structure of Mn8Al27Zn3. Source: the Alexandria database, functional GGA-PBEsol.

Computed properties:
The symmetry is Cmcm. The calculation puts the formation energy at -0.15 eV per atom. The calculation puts the total magnetic moment at 0.18 μB/atom.

Cell and atoms, written as POSCAR:
```
Mn8Al27Zn3
1.0
-5.683 -2.634 -4.472
-1.667 -9.353 7.629
-4.982 7.737 8.397
Al Mn Zn
54 16 6
Direct
0.105 0.867 0.565
0.738 0.935 0.109
0.539 0.127 0.079
0.261 0.438 0.522
0.739 0.938 0.478
0.363 0.567 0.348
0.460 0.867 0.565
0.639 0.851 0.278
0.202 0.250 0.000
0.186 0.250 0.372
0.895 0.133 0.435
0.739 0.562 0.478
0.460 0.633 0.565
0.629 0.065 0.891
0.540 0.367 0.435
0.637 0.067 0.652
0.361 0.149 0.722
0.081 0.250 0.772
0.985 0.567 0.348
0.919 0.750 0.228
0.461 0.873 0.921
0.015 0.067 0.652
0.105 0.633 0.565
0.371 0.565 0.109
0.738 0.565 0.109
0.629 0.435 0.891
0.461 0.627 0.921
0.798 0.750 0.000
0.904 0.116 0.219
0.691 0.250 0.772
0.895 0.367 0.435
0.015 0.433 0.652
0.315 0.384 0.219
0.685 0.616 0.781
0.685 0.884 0.781
0.361 0.351 0.722
0.798 0.250 0.000
0.315 0.116 0.219
0.096 0.884 0.781
0.639 0.649 0.278
0.262 0.065 0.891
0.262 0.435 0.891
0.539 0.373 0.079
0.309 0.750 0.228
0.363 0.933 0.348
0.261 0.062 0.522
0.371 0.935 0.109
0.540 0.133 0.435
0.096 0.616 0.781
0.814 0.750 0.628
0.202 0.750 0.000
0.985 0.933 0.348
0.637 0.433 0.652
0.904 0.384 0.219
0.360 0.552 0.721
0.081 0.250 0.163
0.360 0.948 0.721
0.085 0.591 0.170
0.640 0.448 0.279
0.879 0.750 0.436
0.443 0.250 0.564
0.457 0.250 0.914
0.085 0.909 0.170
0.640 0.052 0.279
0.557 0.750 0.436
0.543 0.750 0.086
0.915 0.409 0.830
0.915 0.091 0.830
0.919 0.750 0.837
0.121 0.250 0.564
0.023 0.417 0.046
0.977 0.583 0.954
0.977 0.917 0.954
0.636 0.250 0.271
0.364 0.750 0.729
0.023 0.083 0.046
```